The following is a DFT calculation (GGA-PBE) of a relaxed structure of Tb3Dy3Tl2.

Cell and atoms, written as POSCAR:
```
Tb3Dy3Tl2
1.0
4.8539 0.0000 0.0000
0.0000 4.8585 0.0000
0.0000 0.0000 9.7270
Tb Dy Tl
3 3 2
direct
0.5000 0.0000 0.5000
0.0000 0.5000 0.0000
0.0000 0.5000 0.5000
0.5000 0.5000 0.7502
0.5000 0.5000 0.2498
0.5000 0.0000 0.0000
0.0000 0.0000 0.7505
0.0000 0.0000 0.2495
```

- symmetry = Pmmm
- polymorph energy (0 for the lowest one) (eV per atom) = 0.000
- DFT total energy (eV for the cell shown) = -33.9
- spin magnetization (μB/atom) = 0.21
- mass density (kg/m3) = 9939
- energy relative to the elements (eV/atom) = -0.18


The following is a DFT calculation (GGA-PBE) of a relaxed structure of Tb3Pm6Ho.

Cell and atoms, written as POSCAR:
```
Tb3Pm6Ho
1.0
6.3713 0.0000 0.0000
0.0000 10.9445 -1.7117
0.0000 -4.1108 10.2866
Tb Pm Ho
6 12 2
direct
0.4649 0.9443 0.7146
0.9649 0.7146 0.9443
0.0803 0.3853 0.6147
0.5803 0.6147 0.3853
0.9649 0.0557 0.2854
0.4649 0.2854 0.0557
0.0504 0.7114 0.6264
0.5504 0.6264 0.7114
0.3640 0.5235 0.9431
0.8640 0.9431 0.5235
0.3814 0.9633 0.0367
0.6492 0.2785 0.7215
0.1492 0.7215 0.2785
0.8814 0.0367 0.9633
0.3640 0.0569 0.4765
0.8640 0.4765 0.0569
0.0504 0.3736 0.2886
0.5504 0.2886 0.3736
0.1158 0.1955 0.8045
0.6158 0.8045 0.1955
```

- symmetry = Cmc2_1
- polymorph energy (0 for the lowest one) (eV per atom) = 0.019
- DFT total energy (eV for the cell shown) = -91.1
- spin magnetization (μB/atom) = 0.00
- mass density (kg/m3) = 7466
- energy relative to the elements (eV/atom) = 0.14